Entry from the Alexandria database: a geometry-optimized LiHfOs2Au structure (PBE-GGA).

Properties
- E: -6.9855 eV per atom
- Formation enthalpy at 0 K: 0.54 eV per atom
- DOS at the Fermi energy: 0.70 states/eV/atom

Cell lengths 4.2809, 4.2809, 4.1637 Å; angles 90.00, 90.00, 90.00 degrees
Space group P4/mmm (No. 123)
Asymmetric unit:
Li: 0.0000 0.0000 0.0000
Hf: 0.5000 0.5000 0.5000
Os: 0.0000 0.5000 0.0000
Au: 0.0000 0.0000 0.5000